The following is a PBE-GGA calculation of a geometry-optimized Li2MoBr structure, from the Alexandria database.

Results
The relative energy among the computed polymorphs is 563.4 meV per atom. For the mass density, the calculation gives 3.9 g cm⁻³. The magnetic moment is 4.3 μB/f.u. The calculation puts the uncorrected formation energy at 0.659 eV per atom. As for the total energy: -13.70 eV/cell.

Structure (CIF):
```
data_Li2MoBr
_chemical_formula_sum 'Li2 Mo1 Br1'
_cell_length_a 4.8379
_cell_length_b 4.8379
_cell_length_c 4.8379
_cell_angle_alpha 60.00
_cell_angle_beta 60.00
_cell_angle_gamma 60.00
_space_group_name_H-M_alt 'P 1'
_space_group_IT_number 1
_space_group_name_Hall 'P 1'
loop_
_atom_site_label
_atom_site_fract_x
_atom_site_fract_y
_atom_site_fract_z
Li1 0.0000 0.0000 0.0000
Li2 0.2500 0.2500 0.2500
Mo1 0.7500 0.7500 0.7500
Br1 0.5000 0.5000 0.5000
```